The following is a DFT calculation (PBE) of DyFe3Ge3 after structural relaxation.

Values from the calculation:
Formation energy from the elements = 0.246 eV/atom
Energy = -84.24 eV per cell

Lattice parameters (Å, degrees): 6.459 6.459 6.459 90.00 90.00 90.00
Each line ends with the local moment (μB).
Element x y z (fractional)
1 Ge 0.500 0.000 0.250  -0.08
2 Ge 0.000 0.250 0.500  -0.08
3 Ge 0.500 0.000 0.750  -0.08
4 Ge 0.250 0.500 0.000  -0.08
5 Ge 0.000 0.750 0.500  -0.08
6 Ge 0.750 0.500 0.000  -0.08
7 Fe 0.500 0.750 0.000  1.71
8 Fe 0.500 0.250 0.000  1.71
9 Fe 0.000 0.500 0.250  1.71
10 Fe 0.250 0.000 0.500  1.71
11 Fe 0.750 0.000 0.500  1.71
12 Fe 0.000 0.500 0.750  1.71
13 Dy 0.500 0.500 0.500  0.03
14 Dy 0.000 0.000 0.000  0.03



The following is a DFT calculation (PBE) of NbGeTePO after structural relaxation.

Values from the calculation:
Formation energy (no corrections) = -0.54 eV per atom
Energy = -30.91 eV per cell

Lattice parameters (Å, degrees): 3.642 5.588 6.858 99.55 105.14 91.51
Element x y z (fractional)
1 O 0.624 0.816 0.690
2 Nb 0.672 0.512 0.770
3 Te 0.328 0.465 0.090
4 P 0.067 0.328 0.540
5 Ge 0.122 0.738 0.454



The following is a DFT calculation (PBE) of KBa2Hg after structural relaxation.

Values from the calculation:
Formation energy from the elements = 0.022 eV/atom
Energy = -5.16 eV per cell

Lattice parameters (Å, degrees): 6.262 6.262 6.262 60.00 60.00 60.00
Element x y z (fractional)
1 K 0.750 0.750 0.750
2 Ba 0.250 0.250 0.250
3 Ba 0.000 0.000 0.000
4 Hg 0.500 0.500 0.500



The following is a DFT calculation (PBE) of V3MoH after structural relaxation.

Values from the calculation:
Energy = -41.00 eV per cell

Lattice parameters (Å, degrees): 3.903 3.903 3.903 90.00 90.00 90.00
Element x y z (fractional)
1 Mo 0.500 0.500 0.500
2 H 0.000 0.000 0.000
3 V 0.000 0.000 0.500
4 V 0.000 0.500 0.000
5 V 0.500 0.000 0.000



The following is a DFT calculation (PBE) of KLaMn2 after structural relaxation.

Values from the calculation:
Formation energy from the elements = 0.676 eV/atom
Energy = -21.66 eV per cell

Lattice parameters (Å, degrees): 7.709 7.709 7.709 154.38 142.61 45.88
Each line ends with the local moment (μB).
Element x y z (fractional)
1 K 0.457 0.457 0.000  0.01
2 La 0.739 0.239 0.500  0.17
3 Mn 0.208 0.708 0.500  -2.53
4 Mn 0.095 0.095 0.000  3.54



The following is a DFT calculation (PBE) of CaNdMgRu after structural relaxation.

Values from the calculation:
Formation energy from the elements = 0.047 eV/atom
Energy = -17.45 eV per cell

Lattice parameters (Å, degrees): 5.132 5.132 5.132 60.00 60.00 60.00
Element x y z (fractional)
1 Nd 0.500 0.500 0.500
2 Mg 0.250 0.250 0.250
3 Ca 0.000 0.000 0.000
4 Ru 0.750 0.750 0.750



The following is a DFT calculation (PBE) of Ac2CrGaPt6 after structural relaxation.

Values from the calculation:
Formation energy from the elements = -0.767 eV/atom
Energy = -64.78 eV per cell

Lattice parameters (Å, degrees): 6.924 6.751 5.542 65.78 66.41 82.96
Each line ends with the local moment (μB).
Element x y z (fractional)
1 Pt 0.254 0.241 0.005  0.01
2 Pt 0.255 0.241 0.500  0.01
3 Pt 0.608 0.108 0.142  0.03
4 Pt 0.745 0.759 0.500  0.01
5 Pt 0.746 0.759 0.995  0.01
6 Pt 0.392 0.892 0.858  0.03
7 Cr 0.000 0.000 0.000  2.85
8 Ac 0.203 0.707 0.545  0.01
9 Ac 0.797 0.293 0.455  0.01
10 Ga 0.500 0.500 0.000  0.02



The following is a DFT calculation (PBE) of Ho2Mg2Cu15 after structural relaxation.

Values from the calculation:
Formation energy from the elements = -0.143 eV/atom
Energy = -76.51 eV per cell

Lattice parameters (Å, degrees): 6.551 6.551 6.551 82.47 82.47 82.47
Element x y z (fractional)
1 Cu 0.000 0.698 0.302
2 Cu 0.000 0.302 0.698
3 Cu 0.349 0.841 0.349
4 Cu 0.841 0.349 0.349
5 Cu 0.349 0.349 0.841
6 Cu 0.000 0.500 0.000
7 Cu 0.500 0.000 0.000
8 Cu 0.651 0.159 0.651
9 Cu 0.651 0.651 0.159
10 Cu 0.302 0.000 0.698
11 Cu 0.698 0.000 0.302
12 Cu 0.698 0.302 0.000
13 Cu 0.000 0.000 0.500
14 Cu 0.159 0.651 0.651
15 Cu 0.302 0.698 0.000
16 Ho 0.646 0.646 0.646
17 Ho 0.354 0.354 0.354
18 Mg 0.105 0.105 0.105
19 Mg 0.895 0.895 0.895



The following is a DFT calculation (PBE) of Pr2Sm4Ho after structural relaxation.

Values from the calculation:
Formation energy from the elements = 0.182 eV/atom
Energy = -126.97 eV per cell

Lattice parameters (Å, degrees): 7.337 11.585 11.585 89.95 90.00 90.00
Element x y z (fractional)
1 Sm 0.749 0.500 0.283
2 Sm 0.751 0.717 0.500
3 Sm 0.749 0.217 0.000
4 Sm 0.249 0.500 0.283
5 Sm 0.249 0.783 0.000
6 Sm 0.751 0.000 0.783
7 Sm 0.251 0.000 0.783
8 Sm 0.249 0.217 0.000
9 Sm 0.751 0.000 0.217
10 Sm 0.749 0.783 0.000
11 Sm 0.251 0.000 0.217
12 Sm 0.251 0.717 0.500
13 Sm 0.751 0.283 0.500
14 Sm 0.749 0.500 0.717
15 Sm 0.249 0.500 0.717
16 Sm 0.251 0.283 0.500
17 Pr 0.000 0.750 0.750
18 Pr 0.000 0.250 0.250
19 Pr 0.500 0.250 0.250
20 Pr 0.000 0.750 0.250
21 Pr 0.500 0.750 0.250
22 Pr 0.500 0.750 0.750
23 Pr 0.000 0.250 0.750
24 Pr 0.500 0.250 0.750
25 Ho 0.999 0.500 0.000
26 Ho 0.001 0.000 0.500
27 Ho 0.499 0.500 0.000
28 Ho 0.501 0.000 0.500



The following is a DFT calculation (PBE) of Ba5IrRh after structural relaxation.

Values from the calculation:
Formation energy from the elements = -0.043 eV/atom
Energy = -52.25 eV per cell

Lattice parameters (Å, degrees): 7.778 7.778 11.841 106.75 106.75 80.10
Element x y z (fractional)
1 Ir 0.000 0.000 0.000
2 Ir 0.500 0.500 0.500
3 Ba 0.774 0.354 0.997
4 Ba 0.249 0.251 0.250
5 Ba 0.420 0.299 0.654
6 Ba 0.201 0.080 0.846
7 Ba 0.146 0.726 0.503
8 Ba 0.226 0.646 0.003
9 Ba 0.751 0.749 0.750
10 Ba 0.799 0.920 0.154
11 Ba 0.580 0.701 0.346
12 Ba 0.854 0.274 0.497
13 Rh 0.071 0.429 0.750
14 Rh 0.929 0.571 0.250



The following is a DFT calculation (PBE) of Al2HgSb2 after structural relaxation.

Values from the calculation:
Formation energy (no corrections) = 0.12 eV per atom
Energy = -15.42 eV per cell

Lattice parameters (Å, degrees): 4.939 4.939 6.474 67.58 67.58 90.00
Element x y z (fractional)
1 Sb 0.250 0.750 0.500
2 Sb 0.750 0.250 0.500
3 Al 0.618 0.618 0.764
4 Al 0.382 0.382 0.236
5 Hg 0.000 0.000 0.000



The following is a DFT calculation (PBE) of LiTlInI3 after structural relaxation.

Values from the calculation:
Formation energy (no corrections) = -0.76 eV per atom
Energy = -32.47 eV per cell

Lattice parameters (Å, degrees): 4.717 10.339 10.572 97.64 90.00 90.00
Element x y z (fractional)
1 Tl 0.250 0.162 0.197
2 Tl 0.750 0.838 0.803
3 I 0.250 0.820 0.503
4 I 0.750 0.895 0.142
5 I 0.250 0.105 0.858
6 I 0.750 0.398 0.154
7 I 0.750 0.180 0.497
8 I 0.250 0.602 0.846
9 In 0.750 0.355 0.838
10 In 0.250 0.645 0.162
11 Li 0.250 0.085 0.595
12 Li 0.750 0.915 0.405



The following is a DFT calculation (PBE) of CdCuTc2 after structural relaxation.

Values from the calculation:
Formation energy from the elements = 0.135 eV/atom
Energy = -25.20 eV per cell

Lattice parameters (Å, degrees): 9.257 9.257 9.257 17.40 17.40 17.40
Element x y z (fractional)
1 Cu 0.746 0.746 0.746
2 Tc 0.999 0.999 0.999
3 Tc 0.258 0.258 0.258
4 Cd 0.497 0.497 0.497



The following is a DFT calculation (PBE) of YAuI6 after structural relaxation.

Values from the calculation:
Formation energy (no corrections) = -0.65 eV per atom
Energy = -24.25 eV per cell

Lattice parameters (Å, degrees): 9.239 10.058 7.906 59.43 59.84 37.99
Element x y z (fractional)
1 I 0.290 0.904 0.142
2 I 0.113 0.531 0.667
3 I 0.887 0.469 0.333
4 I 0.384 0.778 0.705
5 I 0.710 0.096 0.858
6 I 0.616 0.222 0.295
7 Y 0.500 0.500 0.500
8 Au 0.000 0.000 0.000



The following is a DFT calculation (PBE) of PmY5Te4 after structural relaxation.

Values from the calculation:
Formation energy (no corrections) = -0.81 eV per atom
Energy = -115.42 eV per cell

Lattice parameters (Å, degrees): 7.518 9.163 9.842 90.00 90.00 90.00
Element x y z (fractional)
1 Te 0.446 0.737 0.500
2 Te 0.921 0.000 0.300
3 Te 0.446 0.263 0.500
4 Te 0.079 0.500 0.200
5 Te 0.554 0.763 0.000
6 Te 0.079 0.500 0.800
7 Te 0.921 0.000 0.700
8 Te 0.554 0.237 0.000
9 Y 0.762 0.305 0.694
10 Y 0.762 0.305 0.306
11 Y 0.238 0.195 0.194
12 Y 0.238 0.195 0.806
13 Y 0.786 0.500 0.000
14 Y 0.762 0.695 0.694
15 Y 0.762 0.695 0.306
16 Y 0.214 0.000 0.500
17 Y 0.238 0.805 0.806
18 Y 0.238 0.805 0.194
19 Pm 0.148 0.500 0.500
20 Pm 0.852 0.000 0.000



The following is a DFT calculation (PBE) of K2TeOs after structural relaxation.

Values from the calculation:
Formation energy (no corrections) = 0.74 eV per atom
Energy = -13.62 eV per cell

Lattice parameters (Å, degrees): 6.226 6.226 3.001 90.04 90.04 120.53
Each line ends with the local moment (μB).
Element x y z (fractional)
1 K 0.500 0.500 0.000  0.00
2 K 0.000 0.000 0.000  0.00
3 Te 0.000 0.500 0.500  0.02
4 Os 0.500 0.000 0.500  0.50



The following is a DFT calculation (PBE) of Ca2ThZrAs4 after structural relaxation.

Values from the calculation:
Formation energy from the elements = -1.238 eV/atom
Energy = -48.48 eV per cell

Lattice parameters (Å, degrees): 4.151 7.168 7.269 109.12 90.00 90.00
Element x y z (fractional)
1 Th 0.500 0.500 0.000
2 Zr 0.000 0.000 0.000
3 As 0.000 0.239 0.763
4 As 0.500 0.770 0.770
5 As 0.500 0.230 0.230
6 As 0.000 0.761 0.237
7 Ca 0.000 0.500 0.500
8 Ca 0.500 0.000 0.500



The following is a DFT calculation (PBE) of Tb3CeNdHo after structural relaxation.

Values from the calculation:
Formation energy from the elements = 0.155 eV/atom
Energy = -56.48 eV per cell

Lattice parameters (Å, degrees): 5.913 6.302 11.819 90.00 90.00 117.98
Each line ends with the local moment (μB).
Element x y z (fractional)
1 Nd 0.000 0.000 0.000  0.02
2 Nd 0.000 0.000 0.500  0.02
3 Tb 0.330 0.660 0.002  0.06
4 Tb 0.670 0.340 0.502  0.06
5 Tb 0.173 0.346 0.750  0.08
6 Tb 0.827 0.654 0.250  0.08
7 Tb 0.330 0.660 0.498  0.06
8 Tb 0.670 0.340 0.998  0.06
9 Ce 0.498 0.995 0.750  0.81
10 Ce 0.502 0.005 0.250  0.81
11 Ho 0.829 0.658 0.750  0.09
12 Ho 0.171 0.342 0.250  0.09



The following is a DFT calculation (PBE) of SmTl2Pb2 after structural relaxation.

Values from the calculation:
Formation energy from the elements = -0.201 eV/atom
Energy = -35.75 eV per cell

Lattice parameters (Å, degrees): 4.678 4.714 13.644 90.00 99.87 90.00
Element x y z (fractional)
1 Pb 0.146 0.250 0.293
2 Pb 0.750 0.250 0.501
3 Pb 0.250 0.750 0.499
4 Pb 0.854 0.750 0.707
5 Tl 0.451 0.750 0.901
6 Tl 0.950 0.250 0.900
7 Tl 0.050 0.750 0.100
8 Tl 0.549 0.250 0.099
9 Sm 0.350 0.250 0.699
10 Sm 0.650 0.750 0.301



The following is a DFT calculation (PBE) of Ba2HgH6Au after structural relaxation.

Values from the calculation:
Energy = -29.94 eV per cell

Lattice parameters (Å, degrees): 5.910 5.910 5.965 60.27 60.27 90.07
Element x y z (fractional)
1 H 0.278 0.722 0.000
2 H 0.723 0.723 0.554
3 H 0.722 0.278 0.000
4 H 0.278 0.278 0.001
5 H 0.277 0.277 0.446
6 H 0.722 0.722 0.999
7 Ba 0.250 0.750 0.500
8 Ba 0.750 0.250 0.500
9 Hg 0.000 0.000 0.000
10 Au 0.500 0.500 0.000